Record 1
First-principles (GGA-PBE) data for an optimized crystal structure of CrFe2TcC, as listed in Alexandria via LeMat-Bulk.

a b c (Å): 3.7147 3.7147 3.8895
angles (deg): 90.00 90.00 90.00
Fractional positions:
Cr 0.0000 0.0000 0.0000
Fe 0.0000 0.5000 0.5000
Fe 0.5000 0.0000 0.5000
Tc 0.5000 0.5000 0.0000
C 0.0000 0.0000 0.5000

Calculated values
For the formation enthalpy at 0 K, the calculation gives 72 kJ/mol of formula units. The total magnetization comes out at 0.1 μB per formula unit. Its space-group type is P4/mmm, No. 123. The density of states at the Fermi level is 1.0258 states/eV/atom.

=====

Record 2
First-principles (GGA-PBE) data for an optimized crystal structure of KCu2Hg2, as listed in Alexandria via LeMat-Bulk.

a b c (Å): 8.4081 8.4081 2.9740
angles (deg): 90.00 90.00 90.00
Fractional positions:
K 0.0000 0.0000 0.0000
K 0.5000 0.5000 0.0000
Cu 0.1606 0.3394 0.5000
Cu 0.3394 0.8394 0.5000
Cu 0.6606 0.1606 0.5000
Cu 0.8394 0.6606 0.5000
Hg 0.1350 0.6350 0.0000
Hg 0.3650 0.1350 0.0000
Hg 0.6350 0.8650 0.0000
Hg 0.8650 0.3650 0.0000

Calculated values
As for the energy above the most stable polymorph in this dataset: 89 meV per atom. For the formation enthalpy at 0 K, the calculation gives 86 kJ/mol of formula units. The total magnetization comes out at 0.0 μB per formula unit. Its space-group type is P4/mbm, No. 127. The density of states at the Fermi level is 0.3740 states/eV/atom.

=====

Record 3
First-principles (GGA-PBE) data for an optimized crystal structure of LiDy2Si2, as listed in Alexandria via LeMat-Bulk.

a b c (Å): 4.2608 5.9494 8.3699
angles (deg): 90.00 90.00 90.00
Fractional positions:
Li 0.0000 0.0000 0.0000
Li 0.5000 0.5000 0.5000
Dy 0.0000 0.5000 0.2108
Dy 0.0000 0.5000 0.7892
Dy 0.5000 0.0000 0.2892
Dy 0.5000 0.0000 0.7108
Si 0.0000 0.2034 0.5000
Si 0.0000 0.7966 0.5000
Si 0.5000 0.2966 0.0000
Si 0.5000 0.7034 0.0000

Calculated values
The total magnetization comes out at 0.0 μB per formula unit. Its space-group type is Immm, No. 71. For the uncorrected formation energy, the calculation gives -0.6065 eV/atom. The density of states at the Fermi level is 0.6837 states/eV/atom.

=====

Q: Which formula does entry 1 have?
A: CrFe2TcC